Here is a geometry-optimized YCdPdRh structure from Alexandria via LeMat-Bulk. Energies are from PBE.

Unit cell a=4.747 b=4.747 c=4.747 alpha=60.00 beta=60.00 gamma=60.00
Element x y z (fractional)
1 Y 0.000 0.000 0.000
2 Cd 0.500 0.500 0.500
3 Pd 0.750 0.750 0.750
4 Rh 0.250 0.250 0.250

Values from the calculation:
**E_form**: -639.2 meV/atom
**Total magnetic moment**: 0.000 μB/cell
**Total energy**: -5.620 eV/atom